# 1
An optimized crystal structure of CdNi, computed with PBE.

The structure in POSCAR format:
```
CdNi
1.0
-0.192 1.881 -4.026
-3.944 0.783 -1.903
-1.469 4.176 -0.436
Cd Ni
2 2
Direct
0.000 0.000 0.000 Cd
0.750 0.750 0.750 Cd
0.250 0.250 0.250 Ni
0.500 0.500 0.500 Ni
```

- Final energy: -12.65 eV for the cell shown
- ΔH_f (0 K): 0.1869 eV/atom
- Crystal system: cubic


# 2
An optimized crystal structure of CaTb5Dy8, computed with PBE.

The structure in POSCAR format:
```
CaTb5Dy8
1.0
-1.802 5.864 5.853
-6.320 -0.738 -5.604
1.217 -7.278 4.176
Dy Tb Ca
8 5 1
Direct
0.343 0.260 0.422 Dy
0.672 0.396 0.924 Dy
0.917 0.079 0.657 Dy
0.528 0.604 0.276 Dy
0.162 0.740 0.083 Dy
0.076 0.748 0.472 Dy
0.724 0.252 0.328 Dy
0.578 0.921 0.838 Dy
0.500 0.000 0.500 Tb
0.866 0.901 0.185 Tb
0.284 0.099 0.964 Tb
0.815 0.680 0.716 Tb
0.036 0.320 0.134 Tb
0.250 0.500 0.750 Ca
```

- Final energy: -58.60 eV for the cell shown
- ΔH_f (0 K): 0.2407 eV/atom
- Crystal system: tetragonal


# 3
An optimized crystal structure of La2Dy2Sb2H, computed with PBE.

The structure in POSCAR format:
```
La2Dy2Sb2H
1.0
4.642 0.000 0.000
0.000 4.642 0.000
-2.321 -2.321 8.603
Sb La H Dy
2 2 1 2
Direct
0.630 0.630 0.259 Sb
0.370 0.370 0.741 Sb
0.823 0.823 0.645 La
0.177 0.177 0.355 La
0.000 0.000 0.000 H
0.500 0.000 0.000 Dy
0.000 0.500 0.000 Dy
```

- Final energy: -36.72 eV for the cell shown
- Crystal system: tetragonal


# 4
An optimized crystal structure of CaZnSiSF, computed with PBE.

The structure in POSCAR format:
```
CaZnSiSF
1.0
6.816 0.000 -0.006
0.000 3.611 0.000
-0.546 0.000 7.885
F Si Zn Ca S
2 2 2 2 2
Direct
0.774 0.000 0.720 F
0.774 0.500 0.220 F
0.411 0.500 0.858 Si
0.411 0.000 0.358 Si
0.325 0.000 0.066 Zn
0.325 0.500 0.566 Zn
0.787 0.000 0.042 Ca
0.787 0.500 0.542 Ca
0.107 0.500 0.957 S
0.107 0.000 0.457 S
```

- E_form (uncorrected): -1323 meV per atom
- Final energy: -42.63 eV for the cell shown
- Crystal system: monoclinic


# 5
An optimized crystal structure of CsCrCu2Te4, computed with PBE.

The structure in POSCAR format:
```
CsCrCu2Te4
1.0
6.474 0.000 0.000
3.237 6.760 -0.197
3.237 0.358 6.754
Cu Cr Te Cs
2 1 4 1
Direct
0.126 0.374 0.374 Cu
0.874 0.626 0.626 Cu
0.500 0.500 0.500 Cr
0.141 0.817 0.489 Te
0.447 0.183 0.511 Te
0.553 0.489 0.817 Te
0.859 0.511 0.183 Te
0.000 0.000 0.000 Cs
```

- E_form (uncorrected): -124 meV per atom
- Final energy: -32.23 eV for the cell shown
- Crystal system: orthorhombic


# 6
An optimized crystal structure of TlMo2Rh, computed with PBE.

The structure in POSCAR format:
```
TlMo2Rh
1.0
-2.806 -1.821 0.850
-0.238 -1.148 -3.246
3.489 -4.718 1.412
Mo Rh Tl
2 1 1
Direct
0.000 0.000 0.055 Mo
0.000 0.000 0.445 Mo
0.500 0.500 0.250 Rh
0.500 0.500 0.750 Tl
```

- Final energy: -29.44 eV for the cell shown
- ΔH_f (0 K): 0.4850 eV/atom
- Crystal system: tetragonal


# 7
An optimized crystal structure of FeGe2Au, computed with PBE.

The structure in POSCAR format:
```
FeGe2Au
1.0
4.110 0.000 0.000
0.000 4.110 0.000
2.055 2.055 8.282
Fe Ge Au
2 4 2
Direct
0.500 0.500 0.000 Fe
0.250 0.750 0.500 Fe
0.164 0.625 0.250 Ge
0.375 0.414 0.750 Ge
0.586 0.125 0.250 Ge
0.875 0.836 0.750 Ge
0.750 0.250 0.500 Au
0.000 0.000 0.000 Au
```

- Final energy: -40.45 eV for the cell shown
- ΔH_f (0 K): 0.1869 eV/atom
- Crystal system: tetragonal


# 8
An optimized crystal structure of Rb4Pr3ZrSe8, computed with PBE.

The structure in POSCAR format:
```
Rb4Pr3ZrSe8
1.0
-6.369 3.634 -4.473
-5.308 0.315 7.814
7.703 3.786 0.355
Se Pr Rb Zr
8 3 4 1
Direct
0.778 0.302 0.024 Se
0.754 0.698 0.976 Se
0.264 0.292 0.528 Se
0.246 0.302 0.024 Se
0.222 0.698 0.444 Se
0.222 0.698 0.976 Se
0.736 0.708 0.472 Se
0.778 0.302 0.556 Se
0.500 0.500 0.000 Pr
0.000 0.500 0.500 Pr
0.500 0.500 0.500 Pr
0.000 0.000 0.500 Rb
0.000 0.000 0.000 Rb
0.500 0.000 0.500 Rb
0.500 0.000 0.000 Rb
0.000 0.500 0.000 Zr
```

- E_form (uncorrected): -1596 meV per atom
- Final energy: -80.17 eV for the cell shown
- Crystal system: trigonal


# 9
An optimized crystal structure of Dy2ZrTl2Se6, computed with PBE.

The structure in POSCAR format:
```
Dy2ZrTl2Se6
1.0
7.026 -0.012 0.055
-3.483 6.102 0.055
-1.271 -2.185 7.806
Zr Se Dy Tl
1 6 2 2
Direct
0.000 0.000 0.500 Zr
0.249 0.249 0.299 Se
0.070 0.388 0.701 Se
0.612 0.930 0.299 Se
0.930 0.612 0.299 Se
0.751 0.751 0.701 Se
0.388 0.070 0.701 Se
0.332 0.668 0.500 Dy
0.668 0.332 0.500 Dy
0.169 0.831 0.000 Tl
0.831 0.169 0.000 Tl
```

- E_form (uncorrected): -1371 meV per atom
- Final energy: -58.48 eV for the cell shown
- Crystal system: monoclinic


# 10
An optimized crystal structure of TbHo3Hg4, computed with PBE.

The structure in POSCAR format:
```
TbHo3Hg4
1.0
5.283 0.000 0.000
0.000 5.968 -0.296
-2.642 -1.875 6.872
Ho Hg Tb
3 4 1
Direct
0.830 0.921 0.661 Ho
0.170 0.079 0.339 Ho
0.000 0.500 0.000 Ho
0.388 0.354 0.776 Hg
0.259 0.670 0.518 Hg
0.741 0.330 0.482 Hg
0.612 0.646 0.224 Hg
0.500 0.000 0.000 Tb
```

- Final energy: -21.85 eV for the cell shown
- ΔH_f (0 K): -0.2845 eV/atom
- Crystal system: monoclinic


# 11
An optimized crystal structure of TbPuPd6, computed with PBE.

The structure in POSCAR format:
```
TbPuPd6
1.0
4.134 0.000 0.000
0.000 4.134 0.000
0.000 0.000 8.278
Tb Pd Pu
1 6 1
Direct
0.000 0.000 0.500 Tb
0.500 0.000 0.752 Pd
0.000 0.500 0.248 Pd
0.500 0.000 0.248 Pd
0.500 0.500 0.000 Pd
0.500 0.500 0.500 Pd
0.000 0.500 0.752 Pd
0.000 0.000 0.000 Pu
```

- Final energy: -55.87 eV for the cell shown
- ΔH_f (0 K): -0.7191 eV/atom
- Crystal system: tetragonal


# 12
An optimized crystal structure of Ho2InAs, computed with PBE.

The structure in POSCAR format:
```
Ho2InAs
1.0
-0.755 -3.625 -1.411
0.414 -3.165 2.348
-7.681 -1.570 2.582
Ho As In
2 1 1
Direct
0.737 0.737 0.789 Ho
0.263 0.263 0.211 Ho
0.000 0.000 0.000 As
0.500 0.500 0.500 In
```

- Final energy: -20.17 eV for the cell shown
- ΔH_f (0 K): -0.9075 eV/atom
- Crystal system: trigonal


# 13
An optimized crystal structure of La2CCl, computed with PBE.

The structure in POSCAR format:
```
La2CCl
1.0
1.051 -3.803 2.826
-3.555 -2.888 1.603
-0.433 -4.510 -1.740
C La Cl
1 2 1
Direct
0.000 0.000 0.000 C
0.250 0.250 0.250 La
0.750 0.750 0.750 La
0.500 0.500 0.500 Cl
```

- E_form (uncorrected): -461 meV per atom
- Final energy: -22.77 eV for the cell shown
- Crystal system: cubic


# 14
An optimized crystal structure of Tb3Pm2Cd4, computed with PBE.

The structure in POSCAR format:
```
Tb3Pm2Cd4
1.0
-3.612 4.690 -3.373
-5.665 -5.678 -1.827
-2.808 -0.263 9.523
Cd Tb Pm
8 6 4
Direct
0.838 0.015 0.677 Cd
0.675 0.750 0.849 Cd
0.662 0.515 0.323 Cd
0.162 0.985 0.323 Cd
0.325 0.250 0.151 Cd
0.175 0.750 0.849 Cd
0.338 0.485 0.677 Cd
0.825 0.250 0.151 Cd
0.000 0.000 0.000 Tb
0.500 0.500 0.000 Tb
0.504 0.750 0.508 Tb
0.496 0.250 0.492 Tb
0.996 0.250 0.492 Tb
0.004 0.750 0.508 Tb
0.408 0.100 0.816 Pm
0.908 0.400 0.816 Pm
0.592 0.900 0.184 Pm
0.092 0.600 0.184 Pm
```

- Final energy: -56.99 eV for the cell shown
- ΔH_f (0 K): -0.1604 eV/atom
- Crystal system: orthorhombic


# 15
An optimized crystal structure of SmThNp2Sb4, computed with PBE.

The structure in POSCAR format:
```
SmThNp2Sb4
1.0
-1.748 -3.351 2.333
6.427 -0.375 4.277
-4.968 4.875 3.280
Sm Sb Np Th
1 4 2 1
Direct
0.000 0.000 0.000 Sm
0.000 0.246 0.744 Sb
0.000 0.754 0.256 Sb
0.500 0.749 0.744 Sb
0.500 0.251 0.256 Sb
0.500 0.000 0.500 Np
0.000 0.500 0.500 Np
0.500 0.500 0.000 Th
```

- E_form (uncorrected): -619 meV per atom
- Final energy: -59.46 eV for the cell shown
- Crystal system: monoclinic